DFT (PBE) results for MnAg2Sb after structural relaxation.

The structure in POSCAR format:
```
MnAg2Sb
1.0
-3.893 3.893 2.733
3.893 -3.893 2.733
3.893 3.893 -2.733
Mn Ag Sb
2 4 2
Direct
0.000 0.000 0.000
0.750 0.250 0.500
0.112 0.625 0.987
0.375 0.362 0.487
0.638 0.125 0.013
0.875 0.888 0.513
0.250 0.750 0.500
0.500 0.500 0.000
```

Results
* total magnetization: 0.951 μB/atom
* total DFT energy (no corrections): -4.391 eV/atom
* volume: 165.65 Å³/cell